# BaMoRhO6

A relaxed structure of BaMoRhO6 (PBE+U, Alexandria).

a b c (Å): 5.3546 5.3546 5.7132
angles (deg): 90.00 90.00 120.00
Space group P312 (No. 149)
Inequivalent atoms, fractional coordinates:
Ba 0.0000 0.0000 0.0000
Mo 0.3333 0.6667 0.5000
Rh 0.6667 0.3333 0.5000
O 0.0086 0.3931 0.6915

Values from the calculation:
ρ ... 5059 kg/m3
E_tot ... -6.748 eV/atom